{
  "formula": "LiTi2NiP2O10",
  "functional": "PBE+U",
  "state": "optimized geometry",
  "crystal_system": "monoclinic",
  "lattice": [[6.5269, 0.0000, 0.0000], [0.0000, 7.4232, 0.0000], [-0.0141, 0.0000, 7.3989]],
  "species": ["Li", "Li", "Ti", "Ti", "Ti", "Ti", "Ni", "Ni", "P", "P", "P", "P", "O", "O", "O", "O", "O", "O", "O", "O", "O", "O", "O", "O", "O", "O", "O", "O", "O", "O", "O", "O"],
  "fractional_positions": [[0.0000, 0.0000, 0.0000], [0.0000, 0.5000, 0.5000], [0.2474, 0.2182, 0.3406], [0.2474, 0.2818, 0.8406], [0.7526, 0.7182, 0.1594], [0.7526, 0.7818, 0.6594], [0.5000, 0.0000, 0.0000], [0.5000, 0.5000, 0.5000], [0.2499, 0.6319, 0.1275], [0.2499, 0.8681, 0.6275], [0.7501, 0.1319, 0.3725], [0.7501, 0.3681, 0.8725], [0.0565, 0.7480, 0.6326], [0.0565, 0.7520, 0.1326], [0.2504, 0.5154, 0.9565], [0.2504, 0.9846, 0.4565], [0.2607, 0.5099, 0.2997], [0.2607, 0.9901, 0.7997], [0.2616, 0.1537, 0.1042], [0.2616, 0.3463, 0.6042], [0.4390, 0.7412, 0.6283], [0.4390, 0.7588, 0.1283], [0.5610, 0.2412, 0.8717], [0.5610, 0.2588, 0.3717], [0.7384, 0.6537, 0.3958], [0.7384, 0.8463, 0.8958], [0.7393, 0.0099, 0.2003], [0.7393, 0.4901, 0.7003], [0.7496, 0.0154, 0.5435], [0.7496, 0.4846, 0.0435], [0.9435, 0.2480, 0.8674], [0.9435, 0.2520, 0.3674]]
}



{
  "formula": "Li2Ti3NiP6O24",
  "functional": "PBE+U",
  "state": "optimized geometry",
  "crystal_system": "trigonal",
  "lattice": [[4.3163, 2.4920, 7.0690], [-4.3163, 2.4920, 7.0690], [0.0000, -4.9840, 7.0690]],
  "species": ["Li", "Li", "Ti", "Ti", "Ti", "Ni", "P", "P", "P", "P", "P", "P", "O", "O", "O", "O", "O", "O", "O", "O", "O", "O", "O", "O", "O", "O", "O", "O", "O", "O", "O", "O", "O", "O", "O", "O"],
  "fractional_positions": [[0.0000, 0.0000, 0.0000], [0.4871, 0.4871, 0.4871], [0.3471, 0.3471, 0.3471], [0.6339, 0.6339, 0.6339], [0.8495, 0.8495, 0.8495], [0.1322, 0.1322, 0.1322], [0.0330, 0.7411, 0.4497], [0.2397, 0.5292, 0.9497], [0.4497, 0.0330, 0.7411], [0.5292, 0.9497, 0.2397], [0.7411, 0.4497, 0.0330], [0.9497, 0.2397, 0.5292], [0.0369, 0.9060, 0.2619], [0.0684, 0.7165, 0.9415], [0.1156, 0.2952, 0.4867], [0.2081, 0.3624, 0.9679], [0.2251, 0.5760, 0.4301], [0.2619, 0.0369, 0.9060], [0.2952, 0.4867, 0.1156], [0.3624, 0.9679, 0.2081], [0.3999, 0.5688, 0.7557], [0.4301, 0.2251, 0.5760], [0.4867, 0.1156, 0.2952], [0.5006, 0.8721, 0.6741], [0.5688, 0.7557, 0.3999], [0.5760, 0.4301, 0.2251], [0.6161, 0.9917, 0.7939], [0.6741, 0.5006, 0.8721], [0.7165, 0.9415, 0.0684], [0.7557, 0.3999, 0.5688], [0.7939, 0.6161, 0.9917], [0.8721, 0.6741, 0.5006], [0.9060, 0.2619, 0.0369], [0.9415, 0.0684, 0.7165], [0.9679, 0.2081, 0.3624], [0.9917, 0.7939, 0.6161]]
}



{
  "formula": "Li8VNi3P6O24",
  "functional": "PBE+U",
  "state": "optimized geometry",
  "crystal_system": "trigonal",
  "lattice": [[4.4176, 2.5505, 6.7996], [-4.4176, 2.5505, 6.7996], [0.0000, -5.1010, 6.7996]],
  "species": ["Li", "Li", "Li", "Li", "Li", "Li", "Li", "Li", "V", "Ni", "Ni", "Ni", "P", "P", "P", "P", "P", "P", "O", "O", "O", "O", "O", "O", "O", "O", "O", "O", "O", "O", "O", "O", "O", "O", "O", "O", "O", "O", "O", "O", "O", "O"],
  "fractional_positions": [[0.0000, 0.0000, 0.0000], [0.1419, 0.7802, 0.3449], [0.1998, 0.6604, 0.8618], [0.3449, 0.1419, 0.7802], [0.4923, 0.4923, 0.4923], [0.6604, 0.8618, 0.1998], [0.7802, 0.3449, 0.1419], [0.8618, 0.1998, 0.6604], [0.6446, 0.6446, 0.6446], [0.1460, 0.1460, 0.1460], [0.3545, 0.3545, 0.3545], [0.8545, 0.8545, 0.8545], [0.0474, 0.4541, 0.7521], [0.2551, 0.9503, 0.5473], [0.4541, 0.7521, 0.0474], [0.5473, 0.2551, 0.9503], [0.7521, 0.0474, 0.4541], [0.9503, 0.5473, 0.2551], [0.0232, 0.2778, 0.9259], [0.0302, 0.6185, 0.7948], [0.0815, 0.9576, 0.7279], [0.0993, 0.5037, 0.3322], [0.2165, 0.9601, 0.3823], [0.2455, 0.4004, 0.6136], [0.2778, 0.9259, 0.0232], [0.3322, 0.0993, 0.5037], [0.3823, 0.2165, 0.9601], [0.3966, 0.7451, 0.6045], [0.4004, 0.6136, 0.2455], [0.5037, 0.3322, 0.0993], [0.5116, 0.6754, 0.8862], [0.6045, 0.3966, 0.7451], [0.6136, 0.2455, 0.4004], [0.6185, 0.7948, 0.0302], [0.6754, 0.8862, 0.5116], [0.7279, 0.0815, 0.9576], [0.7451, 0.6045, 0.3966], [0.7948, 0.0302, 0.6185], [0.8862, 0.5116, 0.6754], [0.9259, 0.0232, 0.2778], [0.9576, 0.7279, 0.0815], [0.9601, 0.3823, 0.2165]]
}



{
  "formula": "Li4V3NiP4O16",
  "functional": "PBE+U",
  "state": "optimized geometry",
  "crystal_system": "monoclinic",
  "lattice": [[4.7604, 0.0000, 0.0000], [0.0000, 6.0645, 0.0000], [-0.0093, 0.0000, 10.4203]],
  "species": ["Li", "Li", "Li", "Li", "V", "V", "V", "Ni", "P", "P", "P", "P", "O", "O", "O", "O", "O", "O", "O", "O", "O", "O", "O", "O", "O", "O", "O", "O"],
  "fractional_positions": [[0.0000, 0.2490, 0.0000], [0.0000, 0.7510, 0.0000], [0.4968, 0.2503, 0.5075], [0.4968, 0.7497, 0.5075], [0.0164, 0.5000, 0.2768], [0.5184, 0.0000, 0.2272], [0.9795, 0.0000, 0.7290], [0.4791, 0.5000, 0.7793], [0.0873, 0.0000, 0.4118], [0.4162, 0.0000, 0.9101], [0.5859, 0.5000, 0.0896], [0.9076, 0.5000, 0.5990], [0.2074, 0.0000, 0.5501], [0.2245, 0.2039, 0.3420], [0.2245, 0.7961, 0.3420], [0.2305, 0.5000, 0.6074], [0.2637, 0.5000, 0.0964], [0.2826, 0.2054, 0.8395], [0.2826, 0.7946, 0.8395], [0.2907, 0.0000, 0.0476], [0.7026, 0.5000, 0.9503], [0.7251, 0.2970, 0.1596], [0.7251, 0.7030, 0.1596], [0.7386, 0.0000, 0.9086], [0.7650, 0.0000, 0.4069], [0.7656, 0.2979, 0.6680], [0.7656, 0.7021, 0.6680], [0.7942, 0.5000, 0.4591]]
}



{
  "formula": "Li4VNi3P4O16",
  "functional": "PBE+U",
  "state": "optimized geometry",
  "crystal_system": "monoclinic",
  "lattice": [[4.7382, 0.0000, 0.0000], [0.0000, 5.9664, 0.0000], [-0.0017, 0.0000, 10.2450]],
  "species": ["Li", "Li", "Li", "Li", "V", "Ni", "Ni", "Ni", "P", "P", "P", "P", "O", "O", "O", "O", "O", "O", "O", "O", "O", "O", "O", "O", "O", "O", "O", "O"],
  "fractional_positions": [[0.0000, 0.2494, 0.0000], [0.0000, 0.7506, 0.0000], [0.5045, 0.2502, 0.4927], [0.5045, 0.7498, 0.4927], [0.4862, 0.0000, 0.7708], [0.0206, 0.0000, 0.2732], [0.5183, 0.5000, 0.2226], [0.9857, 0.5000, 0.7206], [0.0846, 0.5000, 0.4029], [0.4132, 0.5000, 0.9051], [0.5849, 0.0000, 0.0954], [0.9230, 0.0000, 0.5859], [0.2039, 0.5000, 0.5444], [0.2247, 0.2939, 0.3317], [0.2247, 0.7061, 0.3317], [0.2464, 0.0000, 0.5881], [0.2606, 0.0000, 0.0996], [0.2687, 0.2955, 0.8350], [0.2687, 0.7045, 0.8350], [0.3011, 0.5000, 0.0477], [0.7055, 0.0000, 0.9546], [0.7243, 0.2069, 0.1659], [0.7243, 0.7931, 0.1659], [0.7369, 0.5000, 0.8960], [0.7604, 0.5000, 0.3974], [0.7867, 0.2076, 0.6575], [0.7867, 0.7924, 0.6575], [0.7992, 0.0000, 0.4455]]
}



{
  "formula": "Li3PaNi2O6",
  "functional": "PBE+U",
  "state": "optimized geometry",
  "crystal_system": "monoclinic",
  "lattice": [[6.1697, -1.6770, 0.0000], [6.1697, 1.6770, 0.0000], [-1.7790, 0.0000, 6.5674]],
  "species": ["Li", "Li", "Li", "Pa", "Ni", "Ni", "O", "O", "O", "O", "O", "O"],
  "fractional_positions": [[0.0000, 0.0000, 0.0000], [0.3311, 0.3311, 0.7600], [0.6689, 0.6689, 0.2400], [0.0000, 0.0000, 0.5000], [0.3308, 0.3308, 0.1435], [0.6692, 0.6692, 0.8565], [0.1607, 0.1607, 0.0511], [0.1689, 0.1689, 0.6399], [0.4873, 0.4873, 0.7156], [0.5127, 0.5127, 0.2844], [0.8311, 0.8311, 0.3601], [0.8393, 0.8393, 0.9489]]
}



{
  "formula": "Li2PaNiO4",
  "functional": "PBE+U",
  "state": "optimized geometry",
  "crystal_system": "tetragonal",
  "lattice": [[-2.2264, 2.2264, 4.4822], [2.2264, -2.2264, 4.4822], [2.2264, 2.2264, -4.4822]],
  "species": ["Li", "Li", "Pa", "Ni", "O", "O", "O", "O"],
  "fractional_positions": [[0.0000, 0.0000, 0.0000], [0.7500, 0.2500, 0.5000], [0.2500, 0.7500, 0.5000], [0.5000, 0.5000, 0.0000], [0.0129, 0.5129, 0.5000], [0.2303, 0.2303, 0.0000], [0.4871, 0.9871, 0.5000], [0.7697, 0.7697, 0.0000]]
}



{
  "formula": "LiPaNiO4",
  "functional": "PBE+U",
  "state": "optimized geometry",
  "crystal_system": "orthorhombic",
  "lattice": [[-3.0448, 3.5691, 4.2124], [3.0448, -3.5691, 4.2124], [3.0448, 3.5691, -4.2124]],
  "species": ["Li", "Li", "Pa", "Pa", "Ni", "Ni", "O", "O", "O", "O", "O", "O", "O", "O"],
  "fractional_positions": [[0.3716, 0.1216, 0.2500], [0.6284, 0.8784, 0.7500], [0.0000, 0.5000, 0.5000], [0.5000, 0.5000, 0.0000], [0.0000, 0.0000, 0.5000], [0.0000, 0.5000, 0.0000], [0.2060, 0.7469, 0.4591], [0.2122, 0.2531, 0.9591], [0.2539, 0.2804, 0.5265], [0.2539, 0.7274, 0.9735], [0.7461, 0.2726, 0.0265], [0.7461, 0.7196, 0.4735], [0.7878, 0.7469, 0.0409], [0.7940, 0.2531, 0.5409]]
}



{
  "formula": "LiPa2NiO6",
  "functional": "PBE+U",
  "state": "optimized geometry",
  "crystal_system": "trigonal",
  "lattice": [[2.7591, 1.5929, 5.1949], [-2.7591, 1.5929, 5.1949], [0.0000, -3.1859, 5.1949]],
  "species": ["Li", "Pa", "Pa", "Ni", "O", "O", "O", "O", "O", "O"],
  "fractional_positions": [[0.0000, 0.0000, 0.0000], [0.2445, 0.2445, 0.2445], [0.7510, 0.7510, 0.7510], [0.4389, 0.4389, 0.4389], [0.0463, 0.6426, 0.3480], [0.1662, 0.5107, 0.8278], [0.3480, 0.0463, 0.6426], [0.5107, 0.8278, 0.1662], [0.6426, 0.3480, 0.0463], [0.8278, 0.1662, 0.5107]]
}



{
  "formula": "Li4NiPd3O8",
  "functional": "PBE+U",
  "state": "optimized geometry",
  "crystal_system": "monoclinic",
  "lattice": [[5.4502, -2.9598, 0.0000], [5.4502, 2.9598, 0.0000], [-2.7676, 0.0000, 5.0439]],
  "species": ["Li", "Li", "Li", "Li", "Ni", "Pd", "Pd", "Pd", "O", "O", "O", "O", "O", "O", "O", "O"],
  "fractional_positions": [[0.0000, 0.0000, 0.0000], [0.0000, 0.5000, 0.5000], [0.5000, 0.0000, 0.5000], [0.5000, 0.5000, 0.0000], [0.0000, 0.0000, 0.5000], [0.0000, 0.5000, 0.0000], [0.5000, 0.0000, 0.0000], [0.5000, 0.5000, 0.5000], [0.2087, 0.2087, 0.1997], [0.2238, 0.7086, 0.2292], [0.2381, 0.2381, 0.7410], [0.2914, 0.7762, 0.7708], [0.7086, 0.2238, 0.2292], [0.7619, 0.7619, 0.2590], [0.7762, 0.2914, 0.7708], [0.7913, 0.7913, 0.8003]]
}



{
  "formula": "Li2Ni2PdO6",
  "functional": "PBE+U",
  "state": "optimized geometry",
  "crystal_system": "monoclinic",
  "lattice": [[2.6139, -4.3422, 0.0000], [2.6139, 4.3422, 0.0000], [-1.7674, 0.0000, 4.8778]],
  "species": ["Li", "Li", "Ni", "Ni", "Pd", "O", "O", "O", "O", "O", "O"],
  "fractional_positions": [[0.1802, 0.8198, 0.0000], [0.8198, 0.1802, 0.0000], [0.3363, 0.6637, 0.5000], [0.6637, 0.3363, 0.5000], [0.0000, 0.0000, 0.5000], [0.0374, 0.3952, 0.7207], [0.2670, 0.2670, 0.2950], [0.3952, 0.0374, 0.7207], [0.6048, 0.9626, 0.2793], [0.7330, 0.7330, 0.7050], [0.9626, 0.6048, 0.2793]]
}



{
  "formula": "Li3NiPd2O6",
  "functional": "PBE+U",
  "state": "optimized geometry",
  "crystal_system": "monoclinic",
  "lattice": [[2.6360, -4.6158, 0.0000], [2.6360, 4.6158, 0.0000], [-1.7185, 0.0000, 4.8366]],
  "species": ["Li", "Li", "Li", "Ni", "Pd", "Pd", "O", "O", "O", "O", "O", "O"],
  "fractional_positions": [[0.0000, 0.0000, 0.0000], [0.3288, 0.6712, 0.0000], [0.6712, 0.3288, 0.0000], [0.5000, 0.5000, 0.5000], [0.1668, 0.8332, 0.5000], [0.8332, 0.1668, 0.5000], [0.0855, 0.4209, 0.2670], [0.2388, 0.2388, 0.7346], [0.4209, 0.0855, 0.2670], [0.5791, 0.9145, 0.7330], [0.7612, 0.7612, 0.2654], [0.9145, 0.5791, 0.7330]]
}



Across the entries above, VASP energy takes the values -7.44 -7.34 -6.43 -6.94 -6.49 -6.24 -6.78 -7.32 -8.11 -5.18 -5.02 -5.15 eV/atom, respectively.
Across the entries above, total moment takes the values 6.0 0.0 7.0 11.0 9.0 4.0 1.0 4.0 3.1 2.0 2.0 2.7 μB/cell, respectively.